[1]
{"formula": "SrCr2CdMo", "functional": "PBE", "state": "relaxed", "lattice_angstrom": [[4.726, 0.000, 0.000], [0.000, 5.475, 0.000], [0.000, 0.000, 4.726]], "species": ["Sr", "Mo", "Cr", "Cr", "Cd"], "frac_coords": [[0.500, 0.500, 0.500], [0.000, 0.000, 0.000], [0.000, 0.000, 0.500], [0.500, 0.000, 0.000], [0.000, 0.500, 0.000]], "magnetic_moment_mub_per_atom": 1.01, "ef_kcal_per_mol_atoms": 17.37}

---

[2]
{"formula": "Li2PtAu", "functional": "PBE", "state": "relaxed", "lattice_angstrom": [[4.768, -1.439, -2.567], [-1.331, 4.799, 2.567], [-3.328, -0.034, 4.507]], "species": ["Li", "Li", "Pt", "Au"], "frac_coords": [[0.000, 0.246, 0.246], [0.000, 0.754, 0.754], [0.000, 0.000, 0.000], [0.000, 0.500, 0.500]], "magnetic_moment_mub_per_atom": 0.00, "ef_kcal_per_mol_atoms": -4.80}

---

[3]
{"formula": "VZnB", "functional": "PBE", "state": "relaxed", "lattice_angstrom": [[-2.497, 1.554, -0.349], [-0.111, -2.762, 1.065], [2.504, 9.779, 25.608]], "species": ["Zn", "Zn", "Zn", "Zn", "Zn", "Zn", "B", "B", "B", "B", "B", "B", "V", "V", "V", "V", "V", "V"], "frac_coords": [[0.000, 0.000, 0.354], [0.333, 0.667, 0.021], [0.667, 0.333, 0.687], [0.000, 0.000, 0.098], [0.333, 0.667, 0.764], [0.667, 0.333, 0.431], [0.000, 0.000, 0.226], [0.333, 0.667, 0.893], [0.667, 0.333, 0.559], [0.000, 0.000, 0.559], [0.333, 0.667, 0.226], [0.667, 0.333, 0.893], [0.000, 0.000, 0.944], [0.333, 0.667, 0.611], [0.667, 0.333, 0.277], [0.000, 0.000, 0.841], [0.333, 0.667, 0.508], [0.667, 0.333, 0.174]], "de_polymorph_mev_per_atom": 12, "magnetic_moment_mub_per_atom": 0.00, "ef_kcal_per_mol_atoms": -9.34}

---

[4]
{"formula": "Li2MgHPt", "functional": "PBE", "state": "relaxed", "lattice_angstrom": [[-1.912, -0.886, -3.218], [3.333, -0.291, -1.899], [0.212, -4.084, 0.999]], "species": ["H", "Mg", "Pt", "Li", "Li"], "frac_coords": [[0.000, 0.000, 0.000], [0.000, 0.000, 0.500], [0.500, 0.500, 0.500], [0.000, 0.500, 0.000], [0.500, 0.000, 0.000]], "de_polymorph_mev_per_atom": 0, "magnetic_moment_mub_per_atom": 0.00}

---

[5]
{"formula": "LiNbZn6", "functional": "PBE", "state": "relaxed", "lattice_angstrom": [[-0.106, 0.598, -3.914], [-3.112, -2.434, -0.287], [-4.771, 5.978, 1.042]], "species": ["Li", "Nb", "Zn", "Zn", "Zn", "Zn", "Zn", "Zn"], "frac_coords": [[0.000, 0.000, 0.000], [0.000, 0.000, 0.500], [0.500, 0.500, 0.000], [0.500, 0.500, 0.500], [0.500, 0.000, 0.245], [0.500, 0.000, 0.755], [0.000, 0.500, 0.245], [0.000, 0.500, 0.755]], "magnetic_moment_mub_per_atom": 0.00, "ef_kcal_per_mol_atoms": -2.21}

---

[6]
{"formula": "Cs3CaMg2Cl9", "functional": "PBE", "state": "relaxed", "lattice_angstrom": [[7.402, 0.000, 0.000], [-3.701, 6.411, 0.000], [0.000, 0.000, 9.081]], "species": ["Cs", "Cs", "Cs", "Ca", "Mg", "Mg", "Cl", "Cl", "Cl", "Cl", "Cl", "Cl", "Cl", "Cl", "Cl"], "frac_coords": [[0.333, 0.667, 0.669], [0.000, 0.000, 0.000], [0.667, 0.333, 0.331], [0.000, 0.000, 0.500], [0.333, 0.667, 0.160], [0.667, 0.333, 0.840], [0.827, 0.173, 0.676], [0.827, 0.654, 0.676], [0.346, 0.173, 0.676], [0.654, 0.827, 0.324], [0.173, 0.346, 0.324], [0.173, 0.827, 0.324], [0.500, 0.000, 0.000], [0.000, 0.500, 0.000], [0.500, 0.500, 0.000]], "magnetic_moment_mub_per_atom": 0.00, "e_form_raw_ev_per_atom": -2.0449}

---

[7]
{"formula": "AcMgGe2", "functional": "PBE", "state": "relaxed", "lattice_angstrom": [[5.203, 0.000, 0.000], [2.601, 4.506, 0.000], [2.601, 1.502, 4.248]], "species": ["Mg", "Ac", "Ge", "Ge"], "frac_coords": [[0.500, 0.500, 0.500], [0.000, 0.000, 0.000], [0.250, 0.250, 0.250], [0.750, 0.750, 0.750]], "magnetic_moment_mub_per_atom": 0.00, "ef_kcal_per_mol_atoms": -7.46}

---

[8]
{"formula": "Sc4Cd7Ag", "functional": "PBE", "state": "relaxed", "lattice_angstrom": [[5.016, 0.000, 1.363], [2.181, 5.657, 1.884], [0.078, -1.544, 9.624]], "species": ["Sc", "Sc", "Sc", "Sc", "Cd", "Cd", "Cd", "Cd", "Cd", "Cd", "Cd", "Ag"], "frac_coords": [[0.591, 0.592, 0.226], [0.409, 0.408, 0.774], [0.743, 0.834, 0.680], [0.257, 0.166, 0.320], [0.798, 0.482, 0.921], [0.202, 0.518, 0.079], [0.072, 0.184, 0.672], [0.928, 0.816, 0.328], [0.366, 0.749, 0.518], [0.500, 0.000, 0.000], [0.634, 0.251, 0.482], [0.000, 0.000, 0.000]], "magnetic_moment_mub_per_atom": 0.00, "ef_kcal_per_mol_atoms": -0.54}

---

[9]
{"formula": "ZrTe2PtPb", "functional": "PBE", "state": "relaxed", "lattice_angstrom": [[-2.419, -4.742, 1.703], [2.864, 0.041, 4.181], [-3.926, 2.958, 2.660]], "species": ["Pb", "Te", "Te", "Zr", "Pt"], "frac_coords": [[0.500, 0.500, 0.500], [0.000, 0.000, 0.500], [0.500, 0.000, 0.000], [0.000, 0.000, 0.000], [0.000, 0.500, 0.000]], "magnetic_moment_mub_per_atom": 0.00, "e_form_raw_ev_per_atom": -0.0618}

---

[10]
{"formula": "Pm2GaCo", "functional": "PBE", "state": "relaxed", "lattice_angstrom": [[-1.737, -4.181, -1.012], [7.069, -1.922, -4.190], [1.062, 0.755, 5.689]], "species": ["Pm", "Pm", "Pm", "Pm", "Ga", "Ga", "Co", "Co"], "frac_coords": [[0.170, 0.585, 0.341], [0.830, 0.415, 0.659], [0.170, 0.085, 0.341], [0.830, 0.915, 0.659], [0.500, 0.250, 0.000], [0.500, 0.750, 0.000], [0.000, 0.750, 0.000], [0.000, 0.250, 0.000]], "magnetic_moment_mub_per_atom": 0.00, "ef_kcal_per_mol_atoms": -5.51}

---

[11]
{"formula": "La5CeIn3", "functional": "PBE", "state": "relaxed", "lattice_angstrom": [[7.029, 0.000, 0.000], [0.000, 9.764, 0.000], [0.000, -4.882, 8.456]], "species": ["La", "La", "La", "La", "La", "La", "La", "La", "La", "La", "Ce", "Ce", "In", "In", "In", "In", "In", "In"], "frac_coords": [[0.000, 0.667, 0.333], [0.500, 0.333, 0.667], [0.000, 0.333, 0.667], [0.500, 0.667, 0.333], [0.750, 0.673, 0.673], [0.750, 0.000, 0.327], [0.750, 0.327, 0.000], [0.250, 0.327, 0.327], [0.250, 0.000, 0.673], [0.250, 0.673, 0.000], [0.000, 0.000, 0.000], [0.500, 0.000, 0.000], [0.750, 0.336, 0.336], [0.750, 0.000, 0.664], [0.750, 0.664, 0.000], [0.250, 0.664, 0.664], [0.250, 0.000, 0.336], [0.250, 0.336, 0.000]], "magnetic_moment_mub_per_atom": 0.23, "ef_kcal_per_mol_atoms": -7.81}

---

[12]
{"formula": "CeTmAs2Rh2", "functional": "PBE", "state": "relaxed", "lattice_angstrom": [[4.269, 0.000, 0.000], [-2.134, 3.697, 0.000], [0.000, 0.000, 7.467]], "species": ["Ce", "Tm", "As", "As", "Rh", "Rh"], "frac_coords": [[0.000, 0.000, 0.000], [0.000, 0.000, 0.500], [0.667, 0.333, 0.757], [0.333, 0.667, 0.243], [0.667, 0.333, 0.283], [0.333, 0.667, 0.717]], "magnetic_moment_mub_per_atom": 0.00, "ef_kcal_per_mol_atoms": -25.36}

---

What did the seventh record say?
{"formula": "AcMgGe2", "functional": "PBE", "state": "relaxed", "lattice_angstrom": [[5.203, 0.000, 0.000], [2.601, 4.506, 0.000], [2.601, 1.502, 4.248]], "species": ["Mg", "Ac", "Ge", "Ge"], "frac_coords": [[0.500, 0.500, 0.500], [0.000, 0.000, 0.000], [0.250, 0.250, 0.250], [0.750, 0.750, 0.750]], "magnetic_moment_mub_per_atom": 0.00, "ef_kcal_per_mol_atoms": -7.46}

---

Q: Which formula does entry 1 have?
A: SrCr2CdMo